Density functional theory data (PBE) for KBiSb after structural relaxation.

Properties
Formation energy (no corrections) in eV per atom: -0.25
E_tot in eV per atom: -3.288
Magnetic moment in μB per cell: 0.00

Lattice parameters (Å, degrees): 4.136 4.136 12.708 90.00 90.00 90.00
Space group I4mm (No. 107)
Symmetry-distinct sites (fractional):
K: 0.000 0.000 0.000
Bi: 0.000 0.000 0.292
Sb: 0.000 0.000 0.699

Density functional theory data (PBE) for K3BiSb after structural relaxation.

Properties
Formation energy (no corrections) in eV per atom: -0.36
E_tot in eV per atom: -2.620
Magnetic moment in μB per cell: 0.00

Lattice parameters (Å, degrees): 9.446 7.772 11.425 90.00 107.65 90.00
Space group P2_1/c (No. 14)
Symmetry-distinct sites (fractional):
K: 0.082 0.238 0.396
K: 0.298 0.516 0.689
K: 0.300 0.514 0.211
Bi: 0.493 0.702 0.998
Sb: 0.159 0.742 0.914

Question: What is the E_tot in the first record?
Answer: -3.288 eV per atom

Question: magnetic moment of number 1 (KBiSb)?
Answer: 0.00 μB per cell

Question: Which of these has the lowest E_tot?
Answer: KBiSb